1.
First-principles (PBE) data for crystalline Ba2GaGe2 at its relaxed geometry, as listed in Alexandria via LeMat-Bulk.

abc: 4.876 4.189 15.214
angles: 90.00 90.00 90.00
Space group Amm2 (No. 38)
Asymmetric unit:
Ba: 0.000 0.000 0.000 x2
Ba: 0.000 0.000 0.237 x2
Ga: 0.500 0.000 0.421 x2
Ge: 0.500 0.000 0.597 x2
Ge: 0.500 0.000 0.829 x2

Values from the calculation:
Energy of formation = -41 kJ/mol of atoms
N(E_F) = 0.44 states/eV per atom

2.
First-principles (PBE) data for crystalline Ba5Si2N6 at its relaxed geometry, as listed in Alexandria via LeMat-Bulk.

abc: 10.555 7.032 14.189
angles: 90.00 99.84 90.00
Space group C2/c (No. 15)
Asymmetric unit:
Ba: 0.000 0.103 0.250 x4
Ba: 0.055 0.233 0.992 x8
Ba: 0.156 0.439 0.711 x8
Si: 0.226 0.356 0.427 x8
N: 0.072 0.437 0.377 x8
N: 0.155 0.075 0.642 x8
N: 0.220 0.096 0.447 x8

Values from the calculation:
Formation energy from raw total energies = -843 meV/atom

3.
First-principles (PBE) data for crystalline Ca2BeInSe at its relaxed geometry, as listed in Alexandria via LeMat-Bulk.

abc: 5.493 5.493 4.429
angles: 90.00 90.00 90.00
Space group P4/mmm (No. 123)
Asymmetric unit:
Ca: 0.000 0.500 0.000 x2
Be: 0.000 0.000 0.000 x1
In: 0.000 0.000 0.500 x1
Se: 0.500 0.500 0.500 x1

Values from the calculation:
Formation energy from raw total energies = -364 meV/atom
N(E_F) = 0.55 states/eV per atom

4.
First-principles (PBE) data for crystalline AuSIN2 at its relaxed geometry, as listed in Alexandria via LeMat-Bulk.

abc: 3.878 3.878 6.325
angles: 90.00 90.00 90.00
Space group P4/mmm (No. 123)
Asymmetric unit:
Au: 0.000 0.000 0.000 x1
S: 0.500 0.500 0.000 x1
I: 0.500 0.500 0.500 x1
N: 0.000 0.500 0.500 x2

Values from the calculation:
Formation energy from raw total energies = 1861 meV/atom
N(E_F) = 0.48 states/eV per atom

5.
First-principles (PBE) data for crystalline ReSi2Ru at its relaxed geometry, as listed in Alexandria via LeMat-Bulk.

abc: 2.754 2.754 7.615
angles: 90.00 90.00 90.00
Space group P4mm (No. 99)
Asymmetric unit:
Re: 0.000 0.000 0.000 x1
Si: 0.000 0.000 0.460 x1
Si: 0.500 0.500 0.758 x1
Ru: 0.500 0.500 0.236 x1

Values from the calculation:
Formation energy from raw total energies = 33 meV/atom
N(E_F) = 0.40 states/eV per atom

6.
First-principles (PBE) data for crystalline Pr2ThTe2S2 at its relaxed geometry, as listed in Alexandria via LeMat-Bulk.

abc: 5.288 5.288 16.109
angles: 90.00 90.00 90.00
Space group I4/mmm (No. 139)
Asymmetric unit:
Pr: 0.000 0.000 0.112 x4
Th: 0.000 0.000 0.500 x2
Te: 0.000 0.000 0.310 x4
S: 0.000 0.500 0.000 x4

Values from the calculation:
Formation energy from raw total energies = -1332 meV/atom
N(E_F) = 0.84 states/eV per atom

V / Å³ per cell: 310.8, 1037.7, 133.7, 95.1, 57.8, 450.4
Electronic total energy / eV per atom: -3.65, -6.26, -3.15, -3.26, -8.11, -5.83